No. 1
ScCdBi | PBE-GGA | relaxed

abc: 4.1717 4.6709 4.6709
angles: 120.00 90.00 90.00
Element x y z (fractional)
Bi 0.6827 0.6667 0.3333
Cd 0.0181 0.0000 0.0000
Sc 0.2992 0.3333 0.6667

Calculated values
The formation energy from the elements is -0.1590 eV per atom. The space-group type is P3m1, No. 156. The calculation puts the relative energy among the computed polymorphs at 0.000 eV per atom.

No. 2
HoNiAgPt | PBE-GGA | relaxed

abc: 4.6474 4.6474 4.6474
angles: 60.00 60.00 60.00
Element x y z (fractional)
Ho 0.0000 0.0000 0.0000
Ni 0.2500 0.2500 0.2500
Ag 0.5000 0.5000 0.5000
Pt 0.7500 0.7500 0.7500

Calculated values
The formation energy from the elements is -0.4419 eV per atom. The space-group type is F-43m, No. 216.

No. 3
Er2Ni12Ge7 | PBE-GGA | relaxed

abc: 3.7716 9.4099 9.4099
angles: 120.00 90.00 90.00
Element x y z (fractional)
Ni 0.0000 0.0509 0.5360
Ni 0.5000 0.7050 0.0888
Ni 0.0000 0.7817 0.7191
Ni 0.0000 0.4640 0.5150
Ni 0.5000 0.5371 0.7582
Ni 0.5000 0.2211 0.4629
Ni 0.0000 0.2809 0.0626
Ni 0.5000 0.2418 0.7789
Ni 0.0000 0.4850 0.9491
Ni 0.5000 0.3837 0.2950
Ni 0.5000 0.9112 0.6163
Ni 0.0000 0.9374 0.2183
Ge 0.5000 0.9269 0.3659
Ge 0.0000 0.2089 0.2705
Ge 0.0000 0.3333 0.6667
Ge 0.0000 0.0615 0.7911
Ge 0.5000 0.6341 0.5610
Ge 0.5000 0.4390 0.0731
Ge 0.0000 0.7295 0.9385
Er 0.0000 0.6667 0.3333
Er 0.5000 0.0000 0.0000

Calculated values
The formation energy from the elements is -0.4939 eV per atom. The space-group type is P-6, No. 174.

No. 4
TaTlBr2 | PBE-GGA | relaxed

abc: 9.7973 9.7973 9.7973
angles: 20.14 20.14 20.14
Element x y z (fractional)
Br 0.0130 0.0130 0.0130
Br 0.2301 0.2301 0.2301
Ta 0.5019 0.5019 0.5019
Tl 0.7550 0.7550 0.7550

Calculated values
The space-group type is R3m, No. 160. For the formation energy from raw total energies, the calculation gives -0.05 eV/atom. The calculation puts the relative energy among the computed polymorphs at 0.153 eV per atom.